1.
This record from Alexandria describes Mn2FeF8 after structural relaxation. The functional is GGA+U.

Unit cell a=5.7127 b=5.7127 c=4.5203 alpha=93.81 beta=93.81 gamma=72.44
Last column: nearest neighbours and their distance in Å.
Positions (direct):
Mn (0.1290, 0.1290, 0.2680)  4 F 1.97-2.01
Mn (0.8710, 0.8710, 0.7320)  4 F 1.97-2.01
Fe (0.5000, 0.5000, 0.0000)  6 F 1.94-1.97
F (0.0894, 0.0894, 0.7509)  2 Mn 2.01-2.24
F (0.1830, 0.5952, 0.7730)  1 Fe 1.97, 1 Mn 2.00
F (0.3418, 0.3418, 0.2581)  1 Fe 1.94, 1 Mn 1.97
F (0.4048, 0.8170, 0.2270)  1 Fe 1.97, 1 Mn 2.00
F (0.5952, 0.1830, 0.7730)  1 Fe 1.97, 1 Mn 2.00
F (0.6582, 0.6582, 0.7419)  1 Fe 1.94, 1 Mn 1.97
F (0.8170, 0.4048, 0.2270)  1 Fe 1.97, 1 Mn 2.00
F (0.9106, 0.9106, 0.2491)  2 Mn 2.01-2.24

Output
VASP energy = -62.42 eV per cell

2.
This record from Alexandria describes NaMnFeF6 after structural relaxation. The functional is GGA+U.

Unit cell a=9.1800 b=9.1800 c=5.0806 alpha=90.00 beta=90.00 gamma=120.00
Last column: nearest neighbours and their distance in Å.
Positions (direct):
Na (0.0000, 0.6281, 0.0000)  6 F 2.29-2.43
Na (0.3719, 0.3719, 0.0000)  6 F 2.29-2.43
Na (0.6281, 0.0000, 0.0000)  6 F 2.29-2.43
Mn (0.0000, 0.2988, 0.5000)  6 F 2.13-2.18
Mn (0.2988, 0.0000, 0.5000)  6 F 2.13-2.18
Mn (0.7012, 0.7012, 0.5000)  6 F 2.13-2.18
Fe (0.0000, 0.0000, 0.0000)  6 F 1.96
Fe (0.3333, 0.6667, 0.4990)  6 F 1.96-1.97
Fe (0.6667, 0.3333, 0.5010)  6 F 1.96-1.97
F (0.0973, 0.8960, 0.2226)  1 Fe 1.96, 1 Mn 2.13
F (0.1040, 0.2013, 0.2226)  1 Fe 1.96, 1 Mn 2.13
F (0.1304, 0.5363, 0.2852)  1 Fe 1.96, 1 Mn 2.18
F (0.2013, 0.1040, 0.7774)  1 Fe 1.96, 1 Mn 2.13
F (0.2267, 0.7676, 0.7105)  1 Fe 1.97, 1 Mn 2.17
F (0.2324, 0.4591, 0.7105)  1 Fe 1.97, 1 Mn 2.17
F (0.4059, 0.8696, 0.2852)  1 Fe 1.96, 1 Mn 2.18
F (0.4591, 0.2324, 0.2895)  1 Fe 1.97, 1 Mn 2.17
F (0.4637, 0.5941, 0.2852)  1 Fe 1.96, 1 Mn 2.18
F (0.5363, 0.1304, 0.7148)  1 Fe 1.96, 1 Mn 2.18
F (0.5409, 0.7733, 0.7105)  1 Fe 1.97, 1 Mn 2.17
F (0.5941, 0.4637, 0.7148)  1 Fe 1.96, 1 Mn 2.18
F (0.7676, 0.2267, 0.2895)  1 Fe 1.97, 1 Mn 2.17
F (0.7733, 0.5409, 0.2895)  1 Fe 1.97, 1 Mn 2.17
F (0.7987, 0.9027, 0.2226)  1 Fe 1.96, 1 Mn 2.13
F (0.8696, 0.4059, 0.7148)  1 Fe 1.96, 1 Mn 2.18
F (0.8960, 0.0973, 0.7774)  1 Fe 1.96, 1 Mn 2.13
F (0.9027, 0.7987, 0.7774)  1 Fe 1.96, 1 Mn 2.13

Output
Polymorph energy (0 for the lowest one) = 0 meV per atom

3.
This record from Alexandria describes NaMnFeF6 after structural relaxation. The functional is GGA+U.

Unit cell a=4.8674 b=4.8674 c=9.6559 alpha=90.00 beta=90.00 gamma=90.00
Last column: nearest neighbours and their distance in Å.
Positions (direct):
Na (0.0000, 0.0000, 0.0000)  6 F 2.21-2.28
Na (0.5000, 0.5000, 0.5000)  6 F 2.21-2.28
Mn (0.0000, 0.0000, 0.3338)  6 F 1.93-1.97
Mn (0.5000, 0.5000, 0.8338)  6 F 1.93-1.97
Fe (0.0000, 0.0000, 0.6687)  6 F 2.07-2.14
Fe (0.5000, 0.5000, 0.1687)  6 F 2.07-2.14
F (0.1793, 0.1793, 0.4872)  1 Mn 1.93, 1 Fe 2.14
F (0.2003, 0.2003, 0.1884)  1 Mn 1.97, 1 Fe 2.07
F (0.2201, 0.2201, 0.8247)  1 Mn 1.93, 1 Fe 2.14
F (0.2799, 0.7201, 0.3247)  1 Mn 1.93, 1 Fe 2.14
F (0.2997, 0.7003, 0.6884)  1 Mn 1.97, 1 Fe 2.07
F (0.3207, 0.6793, 0.9872)  1 Mn 1.93, 1 Fe 2.14
F (0.6793, 0.3207, 0.9872)  1 Mn 1.93, 1 Fe 2.14
F (0.7003, 0.2997, 0.6884)  1 Mn 1.97, 1 Fe 2.07
F (0.7201, 0.2799, 0.3247)  1 Mn 1.93, 1 Fe 2.14
F (0.7799, 0.7799, 0.8247)  1 Mn 1.93, 1 Fe 2.14
F (0.7997, 0.7997, 0.1884)  1 Mn 1.97, 1 Fe 2.07
F (0.8207, 0.8207, 0.4872)  1 Mn 1.93, 1 Fe 2.14

Output
Polymorph energy (0 for the lowest one) = 243 meV per atom

4.
This record from Alexandria describes MnFeNiF6 after structural relaxation. The functional is GGA+U.

Unit cell a=4.8237 b=4.8237 c=9.7681 alpha=90.00 beta=90.00 gamma=90.00
Last column: nearest neighbours and their distance in Å.
Positions (direct):
Mn (0.0000, 0.0000, 0.0000)  6 F 2.11-2.17
Mn (0.5000, 0.5000, 0.5000)  6 F 2.11-2.17
Fe (0.0000, 0.0000, 0.6680)  6 F 2.06-2.13
Fe (0.5000, 0.5000, 0.1680)  6 F 2.06-2.13
Ni (0.0000, 0.0000, 0.3343)  6 F 2.02-2.06
Ni (0.5000, 0.5000, 0.8343)  6 F 2.02-2.06
F (0.1901, 0.1901, 0.4957)  1 Ni 2.04, 1 Mn 2.11, 1 Fe 2.12
F (0.1976, 0.1976, 0.1743)  1 Ni 2.06, 1 Fe 2.06, 1 Mn 2.17
F (0.2038, 0.2038, 0.8328)  1 Ni 2.02, 1 Fe 2.13, 1 Mn 2.15
F (0.2962, 0.7038, 0.3328)  1 Ni 2.02, 1 Fe 2.13, 1 Mn 2.15
F (0.3024, 0.6976, 0.6743)  1 Ni 2.06, 1 Fe 2.06, 1 Mn 2.17
F (0.3099, 0.6901, 0.9957)  1 Ni 2.04, 1 Mn 2.11, 1 Fe 2.12
F (0.6901, 0.3099, 0.9957)  1 Ni 2.04, 1 Mn 2.11, 1 Fe 2.12
F (0.6976, 0.3024, 0.6743)  1 Ni 2.06, 1 Fe 2.06, 1 Mn 2.17
F (0.7038, 0.2962, 0.3328)  1 Ni 2.02, 1 Fe 2.13, 1 Mn 2.15
F (0.7962, 0.7962, 0.8328)  1 Ni 2.02, 1 Fe 2.13, 1 Mn 2.15
F (0.8024, 0.8024, 0.1743)  1 Ni 2.06, 1 Fe 2.06, 1 Mn 2.17
F (0.8099, 0.8099, 0.4957)  1 Ni 2.04, 1 Mn 2.11, 1 Fe 2.12

Output
VASP energy = -97.73 eV per cell

5.
This record from Alexandria describes MnFeOF2 after structural relaxation. The functional is GGA+U.

Unit cell a=4.0481 b=4.0481 c=3.9312 alpha=90.00 beta=90.00 gamma=90.00
Last column: nearest neighbours and their distance in Å.
Positions (direct):
Mn (0.0000, 0.0000, 0.0000)  2 O 1.97, 4 F 2.02
Fe (0.5000, 0.5000, 0.5000)  8 F 2.82, 4 O 2.86
O (0.0000, 0.0000, 0.5000)  2 Mn 1.97
F (0.0000, 0.5000, 0.0000)  2 Mn 2.02
F (0.5000, 0.0000, 0.0000)  2 Mn 2.02

Output
Polymorph energy (0 for the lowest one) = 241 meV per atom

6.
This record from Alexandria describes MnFeOF2 after structural relaxation. The functional is GGA+U.

Unit cell a=4.0024 b=4.0024 c=4.0426 alpha=90.00 beta=90.00 gamma=90.00
Last column: nearest neighbours and their distance in Å.
Positions (direct):
Mn (0.0000, 0.0000, 0.0000)  4 O 2.83, 8 F 2.84
Fe (0.5000, 0.5000, 0.5000)  4 F 2.00, 2 O 2.02
O (0.5000, 0.5000, 0.0000)  2 Fe 2.02
F (0.0000, 0.5000, 0.5000)  2 Fe 2.00
F (0.5000, 0.0000, 0.5000)  2 Fe 2.00

Output
Polymorph energy (0 for the lowest one) = 0 meV per atom

7.
This record from Alexandria describes MnFePbF6 after structural relaxation. The functional is GGA+U.

Unit cell a=5.6404 b=5.6404 c=10.3602 alpha=90.00 beta=90.00 gamma=120.00
Last column: nearest neighbours and their distance in Å.
Positions (direct):
Mn (0.3333, 0.6667, 0.2500)  6 F 2.15
Mn (0.6667, 0.3333, 0.7500)  6 F 2.15
Fe (0.3333, 0.6667, 0.7500)  6 F 2.11
Fe (0.6667, 0.3333, 0.2500)  6 F 2.11
Pb (0.0000, 0.0000, 0.0000)  6 F 2.51
Pb (0.0000, 0.0000, 0.5000)  6 F 2.51
F (0.0050, 0.3611, 0.6427)  1 Fe 2.11, 1 Mn 2.15
F (0.0050, 0.6439, 0.8573)  1 Fe 2.11, 1 Mn 2.15
F (0.3561, 0.3611, 0.8573)  1 Fe 2.11, 1 Mn 2.15
F (0.3561, 0.9950, 0.6427)  1 Fe 2.11, 1 Mn 2.15
F (0.3611, 0.0050, 0.1427)  1 Fe 2.11, 1 Mn 2.15
F (0.3611, 0.3561, 0.3573)  1 Fe 2.11, 1 Mn 2.15
F (0.6389, 0.6439, 0.6427)  1 Fe 2.11, 1 Mn 2.15
F (0.6389, 0.9950, 0.8573)  1 Fe 2.11, 1 Mn 2.15
F (0.6439, 0.0050, 0.3573)  1 Fe 2.11, 1 Mn 2.15
F (0.6439, 0.6389, 0.1427)  1 Fe 2.11, 1 Mn 2.15
F (0.9950, 0.3561, 0.1427)  1 Fe 2.11, 1 Mn 2.15
F (0.9950, 0.6389, 0.3573)  1 Fe 2.11, 1 Mn 2.15

Output
VASP energy = -101.17 eV per cell

8.
This record from Alexandria describes MnFePt2F after structural relaxation. The functional is GGA+U.

Unit cell a=4.6858 b=4.6858 c=4.9496 alpha=90.00 beta=90.00 gamma=90.00
Last column: nearest neighbours and their distance in Å.
Positions (direct):
Mn (0.0000, 0.0000, 0.0000)  4 Pt 2.34, 2 Fe 2.47
Fe (0.0000, 0.0000, 0.5000)  2 Mn 2.47
Pt (0.0000, 0.5000, 0.0000)  2 Mn 2.34
Pt (0.5000, 0.0000, 0.0000)  2 Mn 2.34
F (0.5000, 0.5000, 0.5000)  4 Fe 3.31, 8 Pt 3.41

Output
VASP energy = -21.76 eV per cell

9.
This record from Alexandria describes Rb3Mn2FeF9 after structural relaxation. The functional is GGA+U.

Unit cell a=6.0575 b=6.0575 c=7.4261 alpha=90.00 beta=90.00 gamma=120.00
Last column: nearest neighbours and their distance in Å.
Positions (direct):
Rb (0.0000, 0.0000, 0.0000)  12 F 3.03
Rb (0.3333, 0.6667, 0.6659)  12 F 3.02-3.04
Rb (0.6667, 0.3333, 0.3341)  12 F 3.02-3.04
Mn (0.3333, 0.6667, 0.1687)  6 F 2.15-2.16
Mn (0.6667, 0.3333, 0.8313)  6 F 2.15-2.16
Fe (0.0000, 0.0000, 0.5000)  6 F 2.12
F (0.0000, 0.5000, 0.0000)  2 Mn 2.15
F (0.1649, 0.3298, 0.3356)  1 Fe 2.12, 1 Mn 2.16
F (0.1649, 0.8351, 0.3356)  1 Fe 2.12, 1 Mn 2.16
F (0.3298, 0.1649, 0.6644)  1 Fe 2.12, 1 Mn 2.16
F (0.5000, 0.0000, 0.0000)  2 Mn 2.15
F (0.5000, 0.5000, 0.0000)  2 Mn 2.15
F (0.6702, 0.8351, 0.3356)  1 Fe 2.12, 1 Mn 2.16
F (0.8351, 0.1649, 0.6644)  1 Fe 2.12, 1 Mn 2.16
F (0.8351, 0.6702, 0.6644)  1 Fe 2.12, 1 Mn 2.16

Output
VASP energy = -80.03 eV per cell

10.
This record from Alexandria describes MnFeRu2F after structural relaxation. The functional is GGA+U.

Unit cell a=4.7707 b=4.7707 c=3.6089 alpha=90.00 beta=90.00 gamma=90.00
Last column: nearest neighbours and their distance in Å.
Positions (direct):
Mn (0.0000, 0.0000, 0.0000)  2 F 1.80
Fe (0.5000, 0.5000, 0.5000)  8 Ru 2.99
Ru (0.0000, 0.5000, 0.0000)  2 Mn 2.39
Ru (0.5000, 0.0000, 0.0000)  2 Mn 2.39
F (0.0000, 0.0000, 0.5000)  2 Mn 1.80

Output
VASP energy = -28.40 eV per cell

11.
This record from Alexandria describes MnFeSiF2 after structural relaxation. The functional is GGA+U.

Unit cell a=4.0096 b=4.0096 c=5.0258 alpha=90.00 beta=90.00 gamma=90.00
Last column: nearest neighbours and their distance in Å.
Positions (direct):
Mn (0.0000, 0.0000, 0.0000)  4 Fe 2.84
Fe (0.5000, 0.5000, 0.0000)  2 Si 2.51
Si (0.5000, 0.5000, 0.5000)  4 F 2.00
F (0.0000, 0.5000, 0.5000)  2 Si 2.00
F (0.5000, 0.0000, 0.5000)  2 Si 2.00

Output
VASP energy = -23.24 eV per cell

12.
This record from Alexandria describes SrMnFeF6 after structural relaxation. The functional is GGA+U.

Unit cell a=5.1378 b=5.1378 c=10.4053 alpha=90.00 beta=90.00 gamma=90.00
Last column: nearest neighbours and their distance in Å.
Positions (direct):
Sr (0.0000, 0.0000, 0.0000)  6 F 2.37-2.46
Sr (0.5000, 0.5000, 0.5000)  6 F 2.37-2.46
Mn (0.0000, 0.0000, 0.3332)  6 F 2.13-2.21
Mn (0.5000, 0.5000, 0.8332)  6 F 2.13-2.21
Fe (0.0000, 0.0000, 0.6680)  6 F 2.08-2.16
Fe (0.5000, 0.5000, 0.1680)  6 F 2.08-2.16
F (0.1742, 0.1742, 0.5021)  1 Fe 2.14, 1 Mn 2.17, 1 Sr 2.37
F (0.2072, 0.2072, 0.8171)  1 Mn 2.13, 1 Fe 2.16
F (0.2148, 0.2148, 0.1826)  1 Fe 2.08, 1 Mn 2.21
F (0.2852, 0.7148, 0.6826)  1 Fe 2.08, 1 Mn 2.21
F (0.2928, 0.7072, 0.3171)  1 Mn 2.13, 1 Fe 2.16
F (0.3258, 0.6742, 0.0021)  1 Fe 2.14, 1 Mn 2.17, 1 Sr 2.37
F (0.6742, 0.3258, 0.0021)  1 Fe 2.14, 1 Mn 2.17, 1 Sr 2.37
F (0.7072, 0.2928, 0.3171)  1 Mn 2.13, 1 Fe 2.16
F (0.7148, 0.2852, 0.6826)  1 Fe 2.08, 1 Mn 2.21
F (0.7852, 0.7852, 0.1826)  1 Fe 2.08, 1 Mn 2.21
F (0.7928, 0.7928, 0.8171)  1 Mn 2.13, 1 Fe 2.16
F (0.8258, 0.8258, 0.5021)  1 Fe 2.14, 1 Mn 2.17, 1 Sr 2.37

Output
VASP energy = -105.84 eV per cell